Record 1
Entry from Alexandria: a relaxed AcErInGe crystal (PBE-GGA).

Cell lengths 5.433, 5.433, 5.433 Å; angles 60.00, 60.00, 60.00 degrees
Atoms (fractional coordinates):
Er 0.500 0.500 0.500
Ac 0.000 0.000 0.000
Ge 0.250 0.250 0.250
In 0.750 0.750 0.750

The magnetization is 0.00 Bohr magnetons per cell. For the formation energy, the calculation gives -0.41 eV/atom. As for the space group: F-43m, No. 216. As for the uncorrected energy: -17.68 eV/f.u. The volume is 28.35 Å³/atom.



Record 2
Entry from Alexandria: a relaxed SnHg crystal (PBE-GGA).

Cell lengths 3.429, 3.429, 10.749 Å; angles 80.82, 80.82, 60.00 degrees
Atoms (fractional coordinates):
Sn 0.299 0.299 0.104
Sn 0.716 0.716 0.852
Hg 0.548 0.548 0.356
Hg 0.134 0.134 0.597

The magnetization is 0.00 Bohr magnetons per cell. For the formation energy, the calculation gives 0.06 eV/atom. As for the space group: R3m, No. 160. As for the uncorrected energy: -4.19 eV/f.u. The volume is 26.89 Å³/atom.



Record 3
Entry from Alexandria: a relaxed ErThFe2 crystal (PBE-GGA).

Cell lengths 3.411, 4.795, 4.795 Å; angles 90.00, 90.00, 90.00 degrees
Atoms (fractional coordinates):
Fe 0.000 0.500 0.000
Er 0.500 0.000 0.000
Fe 0.000 0.000 0.500
Th 0.500 0.500 0.500

The magnetization is 1.91 Bohr magnetons per cell. For the formation energy, the calculation gives 0.10 eV/atom. As for the space group: P4/mmm, No. 123. As for the uncorrected energy: -28.51 eV/f.u. The volume is 19.61 Å³/atom.



Q: Which of these has the lowest formation energy?
A: AcErInGe



Q: What is the uncorrected energy in the second record?
A: -4.19 eV/f.u.



Q: Which value of magnetization does entry 3 give?
A: 1.91 Bohr magnetons per cell